First-principles (PBE) data for a relaxed structure of Eu2TlSb, as listed in the Alexandria database.

a b c (Å): 5.5922 5.5922 5.5922
angles (deg): 60.00 60.00 60.00
Positions (direct):
Eu 0.2500 0.2500 0.2500
Eu 0.7500 0.7500 0.7500
Tl 0.0000 0.0000 0.0000
Sb 0.5000 0.5000 0.5000

Output
energy relative to the lowest polymorph listed for this composition = 68 meV/atom
total magnetization = 14.32 μB/cell
V = 123.66 Å³/cell
electronic total energy = -29.58 eV per formula unit
raw formation energy = -636 meV/atom

=====

First-principles (PBE) data for a relaxed structure of Eu2TlSb, as listed in the Alexandria database.

a b c (Å): 5.2819 5.2819 4.4086
angles (deg): 90.00 90.00 90.00
Positions (direct):
Eu 0.0000 0.5000 0.0000
Eu 0.5000 0.0000 0.0000
Tl 0.0000 0.0000 0.5000
Sb 0.5000 0.5000 0.5000

Output
energy relative to the lowest polymorph listed for this composition = 0 meV/atom
total magnetization = 14.40 μB/cell
V = 122.99 Å³/cell
electronic total energy = -29.85 eV per formula unit
raw formation energy = -704 meV/atom

=====

First-principles (PBE) data for a relaxed structure of EuTl2Sb, as listed in the Alexandria database.

a b c (Å): 11.7937 11.7937 11.7937
angles (deg): 17.87 17.87 17.87
Positions (direct):
Eu 0.0000 0.0000 0.0000
Tl 0.0943 0.0943 0.0943
Tl 0.9057 0.9057 0.9057
Sb 0.5000 0.5000 0.5000

Output
energy relative to the lowest polymorph listed for this composition = 537 meV/atom
total magnetization = 7.79 μB/cell
V = 134.81 Å³/cell
electronic total energy = -18.82 eV per formula unit
raw formation energy = 78 meV/atom

=====

First-principles (PBE) data for a relaxed structure of EuTlSb2, as listed in the Alexandria database.

a b c (Å): 4.8724 4.8724 4.8521
angles (deg): 90.00 90.00 90.00
Positions (direct):
Eu 0.0000 0.0000 0.0000
Tl 0.5000 0.5000 0.0000
Sb 0.0000 0.5000 0.5000
Sb 0.5000 0.0000 0.5000

Output
energy relative to the lowest polymorph listed for this composition = 0 meV/atom
total magnetization = 6.94 μB/cell
V = 115.19 Å³/cell
electronic total energy = -22.87 eV per formula unit
raw formation energy = -497 meV/atom

=====

First-principles (PBE) data for a relaxed structure of Eu2TlSb, as listed in the Alexandria database.

a b c (Å): 8.2531 8.2531 8.2531
angles (deg): 32.67 32.67 32.67
Positions (direct):
Eu 0.2398 0.2398 0.2398
Eu 0.7602 0.7602 0.7602
Tl 0.0000 0.0000 0.0000
Sb 0.5000 0.5000 0.5000

Output
energy relative to the lowest polymorph listed for this composition = 142 meV/atom
total magnetization = 14.59 μB/cell
V = 145.70 Å³/cell
electronic total energy = -29.29 eV per formula unit
raw formation energy = -562 meV/atom

=====

First-principles (PBE) data for a relaxed structure of EuTlSb2, as listed in the Alexandria database.

a b c (Å): 4.3247 4.3247 6.6549
angles (deg): 90.00 90.00 90.00
Positions (direct):
Eu 0.0000 0.0000 0.0000
Tl 0.0000 0.0000 0.5000
Sb 0.5000 0.5000 0.2176
Sb 0.5000 0.5000 0.7824

Output
energy relative to the lowest polymorph listed for this composition = 17 meV/atom
total magnetization = 6.90 μB/cell
V = 124.46 Å³/cell
electronic total energy = -22.80 eV per formula unit
raw formation energy = -479 meV/atom

=====

First-principles (PBE) data for a relaxed structure of EuUSb2, as listed in the Alexandria database.

a b c (Å): 7.9320 7.9320 7.9320
angles (deg): 32.42 32.42 32.42
Positions (direct):
Eu 0.0000 0.0000 0.0000
U 0.5000 0.5000 0.5000
Sb 0.2442 0.2442 0.2442
Sb 0.7558 0.7558 0.7558

Output
energy relative to the lowest polymorph listed for this composition = 0 meV/atom
total magnetization = 9.00 μB/cell
V = 127.56 Å³/cell
electronic total energy = -32.21 eV per formula unit
raw formation energy = -602 meV/atom

=====

First-principles (PBE) data for a relaxed structure of EuUSb2, as listed in the Alexandria database.

a b c (Å): 3.9219 3.9219 7.2779
angles (deg): 90.00 90.00 90.00
Positions (direct):
Eu 0.0000 0.0000 0.0000
U 0.0000 0.0000 0.5000
Sb 0.5000 0.5000 0.2696
Sb 0.5000 0.5000 0.7304

Output
energy relative to the lowest polymorph listed for this composition = 88 meV/atom
total magnetization = 9.60 μB/cell
V = 111.94 Å³/cell
electronic total energy = -31.86 eV per formula unit
raw formation energy = -514 meV/atom

=====

First-principles (PBE) data for a relaxed structure of EuYSb2, as listed in the Alexandria database.

a b c (Å): 7.8554 7.8554 7.8554
angles (deg): 32.99 32.99 32.99
Positions (direct):
Eu 0.0000 0.0000 0.0000
Y 0.5000 0.5000 0.5000
Sb 0.2458 0.2458 0.2458
Sb 0.7542 0.7542 0.7542

Output
energy relative to the lowest polymorph listed for this composition = 0 meV/atom
total magnetization = 6.59 μB/cell
V = 127.87 Å³/cell
electronic total energy = -29.07 eV per formula unit
raw formation energy = -1021 meV/atom

=====

First-principles (PBE) data for a relaxed structure of EuYSb2, as listed in the Alexandria database.

a b c (Å): 3.7705 3.7705 8.1817
angles (deg): 90.00 90.00 90.00
Positions (direct):
Eu 0.0000 0.0000 0.0000
Y 0.0000 0.0000 0.5000
Sb 0.5000 0.5000 0.2654
Sb 0.5000 0.5000 0.7346

Output
energy relative to the lowest polymorph listed for this composition = 165 meV/atom
total magnetization = 6.98 μB/cell
V = 116.31 Å³/cell
electronic total energy = -28.41 eV per formula unit
raw formation energy = -857 meV/atom

=====

First-principles (PBE) data for a relaxed structure of EuYSb, as listed in the Alexandria database.

a b c (Å): 5.1174 5.1174 4.3829
angles (deg): 90.00 90.00 120.00
Positions (direct):
Eu 0.0000 0.0000 0.0000
Y 0.3333 0.6667 0.4818
Sb 0.6667 0.3333 0.5914

Output
total magnetization = 7.25 μB/cell
V = 99.40 Å³/cell
electronic total energy = -22.46 eV per formula unit
raw formation energy = -535 meV/atom

=====

First-principles (PBE) data for a relaxed structure of EuZrSb2, as listed in the Alexandria database.

a b c (Å): 7.7696 7.7696 7.7696
angles (deg): 31.86 31.86 31.86
Positions (direct):
Eu 0.0000 0.0000 0.0000
Zr 0.5000 0.5000 0.5000
Sb 0.2412 0.2412 0.2412
Sb 0.7588 0.7588 0.7588

Output
energy relative to the lowest polymorph listed for this composition = 0 meV/atom
total magnetization = 6.91 μB/cell
V = 116.06 Å³/cell
electronic total energy = -30.47 eV per formula unit
raw formation energy = -851 meV/atom